A plane-wave DFT calculation with PBE was carried out for crystalline HoTmCd at its relaxed geometry.

Cell lengths 27.7002, 3.4549, 3.4979 Å; angles 90.00, 90.04, 90.00 degrees
Closest atoms and distances in Å follow each position.
Sites, in units of the cell vectors:
1 Ho 0.0000 0.0000 0.0000  4 Cd 3.22-3.23, 4 Ho 3.45-3.50, 2 Tm 3.47
2 Ho 0.1513 0.0000 0.9987  8 Cd 3.23-3.25, 4 Ho 3.45-3.50
3 Ho 0.5000 0.5000 0.0000  4 Cd 3.22-3.23, 4 Ho 3.45-3.50, 2 Tm 3.47
4 Ho 0.6513 0.5000 0.9987  8 Cd 3.23-3.25, 4 Ho 3.45-3.50
5 Tm 0.3040 0.0000 0.9986  4 Cd 3.24, 8 Tm 3.45-3.50
6 Tm 0.3918 0.5000 0.4991  8 Tm 3.45-3.50, 2 Ho 3.47
7 Tm 0.8040 0.5000 0.9986  4 Cd 3.24, 8 Tm 3.45-3.50
8 Tm 0.8918 0.0000 0.4991  8 Tm 3.45-3.50, 2 Ho 3.47
9 Cd 0.0754 0.5000 0.4996  8 Ho 3.22-3.24, 4 Cd 3.45-3.50
10 Cd 0.2278 0.5000 0.4982  4 Tm 3.24, 4 Ho 3.24-3.25, 4 Cd 3.45-3.50
11 Cd 0.5754 0.0000 0.4996  8 Ho 3.22-3.24, 4 Cd 3.45-3.50
12 Cd 0.7278 0.0000 0.4982  4 Tm 3.24, 4 Ho 3.24-3.25, 4 Cd 3.45-3.50

Calculated values
The symmetry is Cm. The value obtained for the distance to the lowest polymorph of the same formula is 86 meV/atom. For the total energy, the calculation gives -3.42 eV per atom. The calculation puts the total magnetic moment at 0.42 μB per cell. The value obtained for the formation energy is -0.10 eV/atom.